Material: PrYAgOs
Method: DFT, PBE
State: relaxed

abc: 7.153 7.153 7.153
angles: 90.00 90.00 90.00
Space group F-43m (No. 216)
Unique sites:
Pr: 0.000 0.000 0.000 x4
Y: 0.000 0.000 0.500 x4
Ag: 0.250 0.250 0.250 x4
Os: 0.250 0.250 0.750 x4

Values from the calculation:
Energy of formation from the pure elements, eV/f.u.: -0.565
Total moment, μB/atom: 0.00



Material: Er2Sc7Tl2
Method: DFT, PBE
State: relaxed

abc: 10.373 10.332 5.927
angles: 90.00 117.24 90.00
Space group C2/m (No. 12)
Unique sites:
Er: 0.000 0.194 0.000 x4
Sc: 0.000 0.000 0.500 x2
Sc: 0.107 0.500 0.350 x4
Sc: 0.167 0.250 0.669 x8
Tl: 0.235 0.500 0.967 x4

Values from the calculation:
Energy of formation from the pure elements, eV/f.u.: 0.246
Total moment, μB/atom: 0.00



Material: CrGa2Au8
Method: DFT, PBE
State: relaxed

abc: 3.151 7.662 8.319
angles: 82.23 89.95 78.43
Space group P-1 (No. 2)
Unique sites:
Cr: 0.000 0.000 0.000 x1
Ga: 0.277 0.447 0.345 x2
Au: 0.109 0.782 0.464 x2
Au: 0.177 0.645 0.902 x2
Au: 0.364 0.275 0.825 x2
Au: 0.464 0.071 0.278 x2

Values from the calculation:
Energy of formation from the pure elements, eV/f.u.: -0.319
Total moment, μB/atom: 0.36



Material: DyNpRh2
Method: DFT, PBE
State: relaxed

abc: 4.857 4.857 3.388
angles: 90.00 90.00 90.00
Space group P4/mmm (No. 123)
Unique sites:
Dy: 0.000 0.000 0.000 x1
Np: 0.500 0.500 0.000 x1
Rh: 0.000 0.500 0.500 x2

Values from the calculation:
Energy of formation from the pure elements, eV/f.u.: -2.059
Energy relative to the lowest polymorph listed for this composition, kJ/mol of formula units: 0
Total moment, μB/atom: 0.85



Material: RbNa2Cd2
Method: DFT, PBE
State: relaxed

abc: 5.134 5.134 14.239
angles: 90.00 90.00 90.00
Space group I4/mmm (No. 139)
Unique sites:
Rb: 0.000 0.000 0.000 x2
Na: 0.000 0.500 0.250 x4
Cd: 0.000 0.000 0.397 x4

Values from the calculation:
Energy of formation from the pure elements, eV/f.u.: -0.124
Energy relative to the lowest polymorph listed for this composition, kJ/mol of formula units: 6
Total moment, μB/atom: 0.00



Material: SrNbS2
Method: DFT, PBE
State: relaxed

abc: 4.1181 4.1181 24.1726
angles: 90.00 90.00 120.00
Space group R-3m (No. 166, hexagonal axes)
Unique sites:
Sr: 0.0000 0.0000 0.0000 x3
Nb: 0.0000 0.0000 0.5000 x3
S: 0.0000 0.0000 0.4033 x6

Values from the calculation:
ΔE_f (raw), meV per atom: -594
Energy relative to the lowest polymorph listed for this composition, kJ/mol of formula units: 135
Total moment, μB/atom: 0.33



Material: YAlAu6
Method: DFT, PBE
State: relaxed

abc: 9.490 4.354 7.939
angles: 90.00 113.50 90.00
Space group C2/m (No. 12)
Unique sites:
Y: 0.000 0.000 0.000 x2
Al: 0.000 0.000 0.500 x2
Au: 0.016 0.500 0.725 x4
Au: 0.222 0.000 0.379 x4
Au: 0.247 0.500 0.139 x4

Values from the calculation:
Energy of formation from the pure elements, eV/f.u.: -3.548
Total moment, μB/atom: 0.00



Material: B2C
Method: DFT, PBE
State: relaxed

abc: 14.239 2.704 4.434
angles: 90.00 106.91 90.00
Space group Cm (No. 8)
Unique sites:
B: 0.000 0.000 0.000 x2
B: 0.001 0.500 0.686 x2
B: 0.046 0.000 0.423 x2
B: 0.187 0.500 0.041 x2
B: 0.326 0.000 0.027 x2
B: 0.366 0.000 0.450 x2
B: 0.378 0.500 0.829 x2
B: 0.468 0.000 0.296 x2
C: 0.166 0.000 0.531 x2
C: 0.201 0.500 0.406 x2
C: 0.207 0.000 0.892 x2
C: 0.310 0.500 0.483 x2

Values from the calculation:
Energy of formation from the pure elements, eV/f.u.: 1.419
Energy relative to the lowest polymorph listed for this composition, kJ/mol of formula units: 83
Total moment, μB/atom: 0.00



Material: AgHg2As
Method: DFT, PBE
State: relaxed

abc: 3.945 3.945 5.605
angles: 90.00 90.00 90.00
Space group P4/mmm (No. 123)
Unique sites:
Ag: 0.000 0.000 0.000 x1
Hg: 0.500 0.500 0.250 x2
As: 0.000 0.000 0.500 x1

Values from the calculation:
Energy of formation from the pure elements, eV/f.u.: 0.947
Total moment, μB/atom: 0.00



Material: Mg2PbBr
Method: DFT, PBE
State: relaxed

abc: 8.295 7.961 3.472
angles: 90.00 111.84 90.00
Space group C2/m (No. 12)
Unique sites:
Mg: 0.250 0.250 0.000 x4
Pb: 0.000 0.000 0.500 x2
Br: 0.000 0.500 0.500 x2

Values from the calculation:
ΔE_f (raw), meV per atom: -309
Energy relative to the lowest polymorph listed for this composition, kJ/mol of formula units: 44
Total moment, μB/atom: 0.00



Material: BeNiIr3
Method: DFT, PBE
State: relaxed

abc: 4.438 4.438 4.438
angles: 90.00 90.00 90.00
Space group Pm-3m (No. 221)
Unique sites:
Be: 0.000 0.000 0.000 x1
Ni: 0.500 0.500 0.500 x1
Ir: 0.000 0.500 0.500 x3

Values from the calculation:
Energy of formation from the pure elements, eV/f.u.: 8.589
Energy relative to the lowest polymorph listed for this composition, kJ/mol of formula units: 566
Total moment, μB/atom: 0.67



Material: NdHoEr3Th
Method: DFT, PBE
State: relaxed

abc: 7.934 5.046 10.069
angles: 90.00 108.87 90.00
Space group P2_1/m (No. 11)
Unique sites:
Nd: 0.168 0.250 0.292 x2
Ho: 0.499 0.250 0.628 x2
Er: 0.169 0.750 0.543 x2
Er: 0.174 0.750 0.042 x2
Er: 0.175 0.250 0.793 x2
Th: 0.498 0.750 0.878 x2

Values from the calculation:
Energy of formation from the pure elements, eV/f.u.: 0.167
Total moment, μB/atom: 0.00



Material: K2YZr
Method: DFT, PBE
State: relaxed

abc: 3.406 7.075 13.542
angles: 90.00 90.00 90.00
Space group Imm2 (No. 44)
Unique sites:
K: 0.000 0.000 0.000 x2
K: 0.000 0.500 0.228 x2
Y: 0.000 0.500 0.784 x2
Zr: 0.000 0.000 0.468 x2

Values from the calculation:
Energy of formation from the pure elements, eV/f.u.: 3.151
Energy relative to the lowest polymorph listed for this composition, kJ/mol of formula units: 154
Total moment, μB/atom: 0.00



Material: CsKNbO4
Method: DFT, PBE
State: relaxed

abc: 6.726 6.726 9.719
angles: 90.00 90.00 90.00
Space group I-4 (No. 82)
Unique sites:
Cs: 0.000 0.000 0.000 x2
K: 0.000 0.000 0.500 x2
Nb: 0.000 0.500 0.750 x2
O: 0.137 0.318 0.637 x8

Values from the calculation:
ΔE_f (raw), meV per atom: -1903
Total moment, μB/atom: 0.14



Material: PaPdPb2
Method: DFT, PBE
State: relaxed

abc: 3.2895 3.2895 32.5758
angles: 90.00 90.00 120.00
Space group R-3m (No. 166, hexagonal axes)
Unique sites:
Pa: 0.0000 0.0000 0.0000 x3
Pd: 0.0000 0.0000 0.5000 x3
Pb: 0.0000 0.0000 0.0997 x6

Values from the calculation:
Energy of formation from the pure elements, eV/f.u.: 0.685
Energy relative to the lowest polymorph listed for this composition, kJ/mol of formula units: 99
Total moment, μB/atom: 0.07



Material: HfSe
Method: DFT, PBE
State: relaxed

abc: 5.940 6.228 9.170
angles: 90.00 90.00 90.00
Space group P2_12_12_1 (No. 19)
Unique sites:
Hf: 0.067 0.097 0.285 x4
Hf: 0.120 0.323 0.948 x4
Se: 0.162 0.574 0.703 x4
Se: 0.234 0.920 0.043 x4

Values from the calculation:
ΔE_f (raw), meV per atom: -911
Total moment, μB/atom: 0.00



Material: AlZnCd
Method: DFT, PBE
State: relaxed

abc: 3.0012 3.0012 7.0131
angles: 90.00 90.00 120.00
Space group P3m1 (No. 156)
Unique sites:
Al: 0.0000 0.0000 0.0000 x1
Zn: 0.3333 0.6667 0.6965 x1
Cd: 0.6667 0.3333 0.3550 x1

Values from the calculation:
Energy of formation from the pure elements, eV/f.u.: 0.241
Energy relative to the lowest polymorph listed for this composition, kJ/mol of formula units: 0
Total moment, μB/atom: 0.00



Material: Mg2InGaRu
Method: DFT, PBE
State: relaxed

abc: 4.997 4.997 4.796
angles: 90.00 90.00 90.00
Space group P4/mmm (No. 123)
Unique sites:
Mg: 0.000 0.500 0.000 x2
In: 0.000 0.000 0.500 x1
Ga: 0.500 0.500 0.500 x1
Ru: 0.500 0.500 0.000 x1

Values from the calculation:
Energy of formation from the pure elements, eV/f.u.: 0.665
Energy relative to the lowest polymorph listed for this composition, kJ/mol of formula units: 67
Total moment, μB/atom: 0.00



Material: K2Bi2F7
Method: DFT, PBE
State: relaxed

abc: 8.121 8.752 6.043
angles: 90.00 90.00 90.00
Space group Cmmm (No. 65)
Unique sites:
K: 0.246 0.000 0.000 x4
Bi: 0.000 0.231 0.500 x4
F: 0.000 0.000 0.286 x4
F: 0.000 0.500 0.500 x2
F: 0.250 0.250 0.278 x8

Values from the calculation:
ΔE_f (raw), meV per atom: -2406
Total moment, μB/atom: 0.00



Material: MnHgOs3
Method: DFT, PBE
State: relaxed

abc: 4.462 4.462 4.462
angles: 90.00 90.00 90.00
Space group Pm-3m (No. 221)
Unique sites:
Mn: 0.000 0.000 0.000 x1
Hg: 0.500 0.500 0.500 x1
Os: 0.000 0.000 0.500 x3

Values from the calculation:
Energy of formation from the pure elements, eV/f.u.: 8.575
Energy relative to the lowest polymorph listed for this composition, kJ/mol of formula units: 0
Total moment, μB/atom: 0.00



Material: SrMn4Zn
Method: DFT, PBE
State: relaxed

abc: 7.621 7.621 7.621
angles: 90.00 90.00 90.00
Space group F-43m (No. 216)
Unique sites:
Sr: 0.000 0.000 0.000 x4
Mn: 0.123 0.123 0.377 x16
Zn: 0.250 0.250 0.750 x4

Values from the calculation:
Energy of formation from the pure elements, eV/f.u.: 3.289
Total moment, μB/atom: 2.34



Material: AcY2Ag
Method: DFT, PBE
State: relaxed

abc: 3.8393 3.8393 30.9725
angles: 90.00 90.00 120.00
Space group R3m (No. 160, hexagonal axes)
Unique sites:
Ac: 0.0000 0.0000 0.0000 x3
Y: 0.0000 0.0000 0.2348 x3
Y: 0.0000 0.0000 0.4342 x3
Ag: 0.0000 0.0000 0.8351 x3

Values from the calculation:
Energy of formation from the pure elements, eV/f.u.: 0.082
Energy relative to the lowest polymorph listed for this composition, kJ/mol of formula units: 51
Total moment, μB/atom: 0.00



Material: Rb3MgTa
Method: DFT, PBE
State: relaxed

abc: 7.042 7.042 7.042
angles: 90.00 90.00 90.00
Space group Pm-3m (No. 221)
Unique sites:
Rb: 0.000 0.000 0.500 x3
Mg: 0.500 0.500 0.500 x1
Ta: 0.000 0.000 0.000 x1

Values from the calculation:
Energy of formation from the pure elements, eV/f.u.: 7.121
Energy relative to the lowest polymorph listed for this composition, kJ/mol of formula units: 0
Total moment, μB/atom: 1.19



Material: MnSiTe2I
Method: DFT, PBE
State: relaxed

abc: 5.306 5.306 5.482
angles: 90.00 90.00 90.00
Space group P4/mmm (No. 123)
Unique sites:
Mn: 0.000 0.000 0.000 x1
Si: 0.500 0.500 0.500 x1
Te: 0.000 0.500 0.500 x2
I: 0.500 0.500 0.000 x1

Values from the calculation:
ΔE_f (raw), meV per atom: 590
Energy relative to the lowest polymorph listed for this composition, kJ/mol of formula units: 0
Total moment, μB/atom: 1.04



Material: Ho5Zr
Method: DFT, PBE
State: relaxed

abc: 4.882 14.659 4.914
angles: 90.00 90.00 90.00
Space group Cmmm (No. 65)
Unique sites:
Ho: 0.000 0.000 0.000 x2
Ho: 0.000 0.160 0.500 x4
Ho: 0.000 0.339 0.000 x4
Zr: 0.000 0.500 0.500 x2

Values from the calculation:
Energy of formation from the pure elements, eV/f.u.: 0.343
Energy relative to the lowest polymorph listed for this composition, kJ/mol of formula units: 0
Total moment, μB/atom: 0.00



Material: ZrCoMo2N
Method: DFT, PBE
State: relaxed

abc: 4.241 4.241 3.820
angles: 90.00 90.00 90.00
Space group P4/mmm (No. 123)
Unique sites:
Zr: 0.000 0.000 0.000 x1
Co: 0.500 0.500 0.000 x1
Mo: 0.000 0.500 0.500 x2
N: 0.500 0.500 0.500 x1

Values from the calculation:
ΔE_f (raw), meV per atom: -219
Total moment, μB/atom: 0.00